VASP calculation (PBEsol) on an optimized crystal structure of HOs3Se.

Properties
Calculated volume ... 12.20 Å³/atom
Final energy ... -7.8678 eV per atom
Symmetry ... Pm-3m (221)

Lattice parameters (Å, degrees): 3.9367 3.9367 3.9367 90.00 90.00 90.00
Sites, in units of the cell vectors:
Se 0.5000 0.5000 0.5000
Os 0.0000 0.0000 0.5000
Os 0.5000 0.0000 0.0000
Os 0.0000 0.5000 0.0000
H 0.0000 0.0000 0.0000